# 1
A relaxed structure of Al2NiHRu, computed with PBE-GGA.

Results
E above lowest polymorph ... 122 meV/atom

CIF file:
```
data_Al2NiHRu
_chemical_formula_sum 'Al2 Ni1 H1 Ru1'
_symmetry_space_group_name_H-M 'P 4/m m m'
_symmetry_Int_Tables_number 123
_symmetry_space_group_name_Hall '-P 4 2'
_cell_length_a 4.044
_cell_length_b 4.044
_cell_length_c 3.395
_cell_angle_alpha 90.00
_cell_angle_beta 90.00
_cell_angle_gamma 90.00
loop_
_atom_site_label
_atom_site_type_symbol
_atom_site_fract_x
_atom_site_fract_y
_atom_site_fract_z
_atom_site_occupancy
Al1 Al 0.000 0.500 0.000 1
Ni1 Ni 0.000 0.000 0.500 1
H1 H 0.500 0.500 0.000 1
Ru1 Ru 0.500 0.500 0.500 1
```



# 2
A relaxed structure of Mn2Zn2Ni5, computed with PBE-GGA.

Results
Total DFT energy (no corrections) ... -5.62 eV per atom

CIF file:
```
data_Mn2Zn2Ni5
_chemical_formula_sum 'Mn4 Zn4 Ni10'
_symmetry_space_group_name_H-M 'C 1 2/m 1'
_symmetry_Int_Tables_number 12
_symmetry_space_group_name_Hall '-C 2y'
_cell_length_a 12.950
_cell_length_b 2.674
_cell_length_c 7.280
_cell_angle_alpha 90.00
_cell_angle_beta 121.23
_cell_angle_gamma 90.00
loop_
_atom_site_label
_atom_site_type_symbol
_atom_site_fract_x
_atom_site_fract_y
_atom_site_fract_z
_atom_site_occupancy
Mn1 Mn 0.061 0.000 0.344 1
Zn1 Zn 0.165 0.000 0.009 1
Ni1 Ni 0.000 0.500 0.000 1
Ni2 Ni 0.109 0.500 0.672 1
Ni3 Ni 0.225 0.500 0.338 1
```



# 3
A relaxed structure of LiLa2ReF, computed with PBE-GGA.

Results
Uncorrected formation energy ... -0.03 eV/atom

CIF file:
```
data_LiLa2ReF
_chemical_formula_sum 'Li1 La2 Re1 F1'
_symmetry_space_group_name_H-M 'P 4/m m m'
_symmetry_Int_Tables_number 123
_symmetry_space_group_name_Hall '-P 4 2'
_cell_length_a 5.590
_cell_length_b 5.590
_cell_length_c 4.311
_cell_angle_alpha 90.00
_cell_angle_beta 90.00
_cell_angle_gamma 90.00
loop_
_atom_site_label
_atom_site_type_symbol
_atom_site_fract_x
_atom_site_fract_y
_atom_site_fract_z
_atom_site_occupancy
Li1 Li 0.000 0.000 0.000 1
La1 La 0.000 0.500 0.500 1
Re1 Re 0.500 0.500 0.500 1
F1 F 0.500 0.500 0.000 1
```



# 4
A relaxed structure of RePbN2F, computed with PBE-GGA.

Results
Uncorrected formation energy ... -0.16 eV/atom
E above lowest polymorph ... 0 meV/atom

CIF file:
```
data_RePbN2F
_chemical_formula_sum 'Re1 Pb1 N2 F1'
_symmetry_space_group_name_H-M 'P 4/m m m'
_symmetry_Int_Tables_number 123
_symmetry_space_group_name_Hall '-P 4 2'
_cell_length_a 3.950
_cell_length_b 3.950
_cell_length_c 4.409
_cell_angle_alpha 90.00
_cell_angle_beta 90.00
_cell_angle_gamma 90.00
loop_
_atom_site_label
_atom_site_type_symbol
_atom_site_fract_x
_atom_site_fract_y
_atom_site_fract_z
_atom_site_occupancy
Re1 Re 0.000 0.000 0.000 1
Pb1 Pb 0.500 0.500 0.500 1
N1 N 0.000 0.500 0.000 1
F1 F 0.000 0.000 0.500 1
```



# 5
A relaxed structure of CrRu2Cl, computed with PBE-GGA.

Results
Uncorrected formation energy ... 0.40 eV/atom
E above lowest polymorph ... 104 meV/atom

CIF file:
```
data_CrRu2Cl
_chemical_formula_sum 'Cr1 Ru2 Cl1'
_symmetry_space_group_name_H-M 'P 4 m m'
_symmetry_Int_Tables_number 99
_symmetry_space_group_name_Hall 'P 4 -2'
_cell_length_a 2.801
_cell_length_b 2.801
_cell_length_c 7.280
_cell_angle_alpha 90.00
_cell_angle_beta 90.00
_cell_angle_gamma 90.00
loop_
_atom_site_label
_atom_site_type_symbol
_atom_site_fract_x
_atom_site_fract_y
_atom_site_fract_z
_atom_site_occupancy
Cr1 Cr 0.000 0.000 0.000 1
Ru1 Ru 0.000 0.000 0.491 1
Ru2 Ru 0.500 0.500 0.256 1
Cl1 Cl 0.500 0.500 0.790 1
```



# 6
A relaxed structure of Rb2CuSe2, computed with PBE-GGA.

Results
Uncorrected formation energy ... -0.76 eV/atom

CIF file:
```
data_Rb2CuSe2
_chemical_formula_sum 'Rb8 Cu4 Se8'
_symmetry_space_group_name_H-M 'C 1 2/m 1'
_symmetry_Int_Tables_number 12
_symmetry_space_group_name_Hall '-C 2y'
_cell_length_a 13.079
_cell_length_b 4.037
_cell_length_c 12.816
_cell_angle_alpha 90.00
_cell_angle_beta 109.19
_cell_angle_gamma 90.00
loop_
_atom_site_label
_atom_site_type_symbol
_atom_site_fract_x
_atom_site_fract_y
_atom_site_fract_z
_atom_site_occupancy
Rb1 Rb 0.087 0.000 0.409 1
Rb2 Rb 0.162 0.500 0.121 1
Cu1 Cu 0.099 0.500 0.798 1
Se1 Se 0.062 0.000 0.876 1
Se2 Se 0.164 0.500 0.652 1
```



Question: Which formula does entry 2 have?
Answer: Mn2Zn2Ni5



Repeat the fifth record exactly.
A relaxed structure of CrRu2Cl, computed with PBE-GGA.

Results
Uncorrected formation energy ... 0.40 eV/atom
E above lowest polymorph ... 104 meV/atom

CIF file:
```
data_CrRu2Cl
_chemical_formula_sum 'Cr1 Ru2 Cl1'
_symmetry_space_group_name_H-M 'P 4 m m'
_symmetry_Int_Tables_number 99
_symmetry_space_group_name_Hall 'P 4 -2'
_cell_length_a 2.801
_cell_length_b 2.801
_cell_length_c 7.280
_cell_angle_alpha 90.00
_cell_angle_beta 90.00
_cell_angle_gamma 90.00
loop_
_atom_site_label
_atom_site_type_symbol
_atom_site_fract_x
_atom_site_fract_y
_atom_site_fract_z
_atom_site_occupancy
Cr1 Cr 0.000 0.000 0.000 1
Ru1 Ru 0.000 0.000 0.491 1
Ru2 Ru 0.500 0.500 0.256 1
Cl1 Cl 0.500 0.500 0.790 1
```